# 1
A plane-wave DFT calculation with PBE was carried out for crystalline RbIn2As2 at its relaxed geometry.

Properties
ΔE_f (kJ/mol of formula units): -125
E (eV per cell): -34.075
Space group: P-1

Lattice parameters (Å, degrees): 7.3535 7.3696 7.6987 110.90 99.56 115.12
Last column: nearest neighbours and their distance in Å.
Element x y z (fractional)
Rb (0.1276, 0.2446, 0.3763)  5 As 3.55-3.88, 2 In 3.84-3.86
Rb (0.8724, 0.7554, 0.6237)  5 As 3.55-3.88, 2 In 3.84-3.86
In (0.2310, 0.4685, 0.9784)  4 As 2.77-2.79
In (0.4725, 0.9486, 0.7171)  4 As 2.81-2.89
In (0.5275, 0.0514, 0.2829)  4 As 2.81-2.89
In (0.7690, 0.5315, 0.0216)  4 As 2.77-2.79
As (0.1719, 0.7194, 0.3087)  4 In 2.78-2.89
As (0.4023, 0.2129, 0.0340)  4 In 2.77-2.81
As (0.5977, 0.7871, 0.9660)  4 In 2.77-2.81
As (0.8281, 0.2806, 0.6913)  4 In 2.78-2.89

# 2
A plane-wave DFT calculation with PBE was carried out for crystalline Er2RhS at its relaxed geometry.

Properties
E (eV per cell): -23.266
Space group: R-3m

Lattice parameters (Å, degrees): 8.7127 8.7127 8.7127 23.45 23.45 23.45
Last column: nearest neighbours and their distance in Å.
Element x y z (fractional)
Er (0.0983, 0.0983, 0.0983)  1 Rh 2.50, 3 S 2.68
Er (0.9017, 0.9017, 0.9017)  1 Rh 2.50, 3 S 2.68
Rh (0.0000, 0.0000, 0.0000)  2 Er 2.50
S (0.5000, 0.5000, 0.5000)  6 Er 2.68

# 3
A plane-wave DFT calculation with PBE was carried out for crystalline RbNi2C2 at its relaxed geometry.

Properties
ΔE_f (kJ/mol of formula units): 528
E (eV per cell): -51.015
Space group: P4/mbm

Lattice parameters (Å, degrees): 7.6115 7.6115 3.0852 90.00 90.00 90.00
Last column: nearest neighbours and their distance in Å.
Element x y z (fractional)
Rb (0.0000, 0.0000, 0.0000)  2 Rb 3.09, 4 C 3.35
Rb (0.5000, 0.5000, 0.0000)  2 Rb 3.09, 4 C 3.35
Ni (0.1073, 0.3927, 0.5000)  4 C 2.05
Ni (0.3927, 0.8927, 0.5000)  4 C 2.05
Ni (0.6073, 0.1073, 0.5000)  4 C 2.05
Ni (0.8927, 0.6073, 0.5000)  4 C 2.05
C (0.0640, 0.5640, 0.0000)  1 C 1.38
C (0.4360, 0.0640, 0.0000)  1 C 1.38
C (0.5640, 0.9360, 0.0000)  1 C 1.38
C (0.9360, 0.4360, 0.0000)  1 C 1.38

# 4
A plane-wave DFT calculation with PBE was carried out for crystalline MoAs2Ir at its relaxed geometry.

Properties
ΔE_f (kJ/mol of formula units): -8
E (eV per cell): -29.077
Space group: Pmm2

Lattice parameters (Å, degrees): 2.8643 4.1097 5.4164 90.00 90.00 90.00
Last column: nearest neighbours and their distance in Å.
Element x y z (fractional)
Mo (0.0000, 0.0000, 0.0000)  5 As 2.52-2.68
As (0.0000, 0.0000, 0.5344)  1 Mo 2.52, 4 Ir 2.67
As (0.5000, 0.5000, 0.1773)  2 Ir 2.56-2.86, 4 Mo 2.68
Ir (0.5000, 0.5000, 0.7053)  6 As 2.56-2.86

# 5
A plane-wave DFT calculation with PBE was carried out for crystalline PmAgO2 at its relaxed geometry.

Properties
E (eV per cell): -25.296
Space group: R3m

Lattice parameters (Å, degrees): 6.1882 6.1882 6.1882 33.61 33.61 33.61
Last column: nearest neighbours and their distance in Å.
Element x y z (fractional)
Pm (0.0000, 0.0000, 0.0000)  6 O 2.36-2.39
Ag (0.8225, 0.8225, 0.8225)  6 O 2.56-2.85
O (0.4025, 0.4025, 0.4025)  3 Pm 2.39, 3 Ag 2.56
O (0.6017, 0.6017, 0.6017)  3 Pm 2.36

# 6
A plane-wave DFT calculation with PBE was carried out for crystalline Li3PmTe3 at its relaxed geometry.

Properties
E (eV per cell): -56.275
Space group: R-3

Lattice parameters (Å, degrees): 8.6675 8.6675 8.6675 54.79 54.79 54.79
Last column: nearest neighbours and their distance in Å.
Element x y z (fractional)
Li (0.1279, 0.4332, 0.8039)  4 Te 2.78-2.84
Li (0.1961, 0.8721, 0.5668)  4 Te 2.78-2.84
Li (0.4332, 0.8039, 0.1279)  4 Te 2.78-2.84
Li (0.5668, 0.1961, 0.8721)  4 Te 2.78-2.84
Li (0.8039, 0.1279, 0.4332)  4 Te 2.78-2.84
Li (0.8721, 0.5668, 0.1961)  4 Te 2.78-2.84
Pm (0.3341, 0.3341, 0.3341)  6 Te 3.16-3.17
Pm (0.6659, 0.6659, 0.6659)  6 Te 3.16-3.17
Te (0.0796, 0.7326, 0.4364)  4 Li 2.78-2.84
Te (0.2674, 0.5636, 0.9204)  4 Li 2.78-2.84
Te (0.4364, 0.0796, 0.7326)  4 Li 2.78-2.84
Te (0.5636, 0.9204, 0.2674)  4 Li 2.78-2.84
Te (0.7326, 0.4364, 0.0796)  4 Li 2.78-2.84
Te (0.9204, 0.2674, 0.5636)  4 Li 2.78-2.84